(1)
A plane-wave DFT calculation with PBE-GGA was carried out for crystalline Pa2InPN6 at its relaxed geometry.

It has space group P4mm (No. 99), with a = 5.226 Å, b = 5.226 Å, c = 4.838 Å, α = 90.00°, β = 90.00° and γ = 90.00°. The asymmetric unit holds Pa at (0.000, 0.500, 0.000), In at (0.000, 0.000, 0.551), P at (0.500, 0.500, 0.598), N at (0.000, 0.000, 0.120), N at (0.276, 0.276, 0.727) and N at (0.500, 0.500, 0.252).

For the formation energy without anion corrections, the calculation gives -0.598 eV/atom.

(2)
A plane-wave DFT calculation with PBE-GGA was carried out for crystalline Pa2InP2N6 at its relaxed geometry.

It has space group P-1 (No. 2), with a = 4.992 Å, b = 6.158 Å, c = 6.574 Å, α = 94.89°, β = 111.17° and γ = 111.93°. The asymmetric unit holds Pa at (0.182, 0.321, 0.180), In at (0.500, 0.000, 0.500), P at (0.094, 0.257, 0.698), N at (0.134, 0.072, 0.863), N at (0.149, 0.503, 0.862) and N at (0.334, 0.328, 0.575).

For the formation energy without anion corrections, the calculation gives -0.719 eV/atom.

(3)
A plane-wave DFT calculation with PBE-GGA was carried out for crystalline Pm2InP2N6 at its relaxed geometry.

It has space group P-3 (No. 147), with a = 5.6382 Å, b = 5.6382 Å, c = 5.9529 Å, α = 90.00°, β = 90.00° and γ = 120.00°. The asymmetric unit holds Pm at (0.3333, 0.6667, 0.3502), In at (0.0000, 0.0000, 0.0000), P at (0.3333, 0.6667, 0.8330) and N at (0.0808, 0.3667, 0.7691).

For the formation energy without anion corrections, the calculation gives -0.487 eV/atom.

(4)
A plane-wave DFT calculation with PBE-GGA was carried out for crystalline RbIn2PN at its relaxed geometry.

It has space group P4/mmm (No. 123), with a = 6.789 Å, b = 6.789 Å, c = 5.626 Å, α = 90.00°, β = 90.00° and γ = 90.00°. The asymmetric unit holds Rb at (0.000, 0.000, 0.000), In at (0.000, 0.500, 0.000), P at (0.000, 0.000, 0.500) and N at (0.500, 0.500, 0.500).

For the formation energy without anion corrections, the calculation gives 2.002 eV/atom.

Q: Number 1 is which compound?
A: Pa2InPN6

Q: Number 1 is which compound?
A: Pa2InPN6

What did the first record say?
A plane-wave DFT calculation with PBE-GGA was carried out for crystalline Pa2InPN6 at its relaxed geometry.

It has space group P4mm (No. 99), with a = 5.226 Å, b = 5.226 Å, c = 4.838 Å, α = 90.00°, β = 90.00° and γ = 90.00°. The asymmetric unit holds Pa at (0.000, 0.500, 0.000), In at (0.000, 0.000, 0.551), P at (0.500, 0.500, 0.598), N at (0.000, 0.000, 0.120), N at (0.276, 0.276, 0.727) and N at (0.500, 0.500, 0.252).

For the formation energy without anion corrections, the calculation gives -0.598 eV/atom.